*1*
Material: ScCo2RhC
Method: DFT, PBE
State: optimized geometry

It has space group P4/mmm (No. 123), with a = 3.827 Å, b = 3.827 Å, c = 4.108 Å, α = 90.00°, β = 90.00° and γ = 90.00°. The asymmetric unit holds Sc at (0.000, 0.000, 0.000), Co at (0.000, 0.500, 0.500), Rh at (0.500, 0.500, 0.000) and C at (0.500, 0.500, 0.500).

***

*2*
Material: ScCo2RhC
Method: DFT, PBE
State: optimized geometry

It has space group P4/mmm (No. 123), with a = 3.720 Å, b = 3.720 Å, c = 4.493 Å, α = 90.00°, β = 90.00° and γ = 90.00°. The asymmetric unit holds Sc at (0.000, 0.000, 0.000), Co at (0.000, 0.500, 0.500), Rh at (0.500, 0.500, 0.000) and C at (0.000, 0.000, 0.500).

***

Which structure is the most stable? The one labeled *1*.

***

*1*
Material: CoRuC2
Method: DFT, PBE
State: optimized geometry

It has space group Fm-3m (No. 225), with a = 5.183 Å, b = 5.183 Å, c = 5.183 Å, α = 90.00°, β = 90.00° and γ = 90.00°. The asymmetric unit holds Co at (0.000, 0.000, 0.000), Ru at (0.000, 0.000, 0.500) and C at (0.250, 0.250, 0.250).

***

*2*
Material: CoRuC2
Method: DFT, PBE
State: optimized geometry

It has space group I-42d (No. 122), with a = 4.452 Å, b = 4.452 Å, c = 8.722 Å, α = 90.00°, β = 90.00° and γ = 90.00°. The asymmetric unit holds Co at (0.000, 0.000, 0.000), Ru at (0.000, 0.000, 0.500) and C at (0.231, 0.250, 0.125).

***

Which structure is the most stable? The one labeled *2*.

***

*1*
Material: CoRu2C2
Method: DFT, PBE
State: optimized geometry

It has space group I4/mmm (No. 139), with a = 3.753 Å, b = 3.753 Å, c = 7.378 Å, α = 90.00°, β = 90.00° and γ = 90.00°. The asymmetric unit holds Co at (0.000, 0.000, 0.000), Ru at (0.000, 0.500, 0.250) and C at (0.000, 0.000, 0.398).

***

*2*
Material: CoRu2C2
Method: DFT, PBE
State: optimized geometry

It has space group P4/mbm (No. 127), with a = 6.008 Å, b = 6.008 Å, c = 2.726 Å, α = 90.00°, β = 90.00° and γ = 90.00°. The asymmetric unit holds Co at (0.000, 0.000, 0.000), Ru at (0.153, 0.347, 0.500) and C at (0.162, 0.662, 0.000).

***

Which structure is the most stable? The one labeled *1*.

***

*1*
Material: CoRu3C
Method: DFT, PBE
State: optimized geometry

It has space group Pm-3m (No. 221), with a = 4.401 Å, b = 4.401 Å, c = 4.401 Å, α = 90.00°, β = 90.00° and γ = 90.00°. The asymmetric unit holds Co at (0.000, 0.000, 0.000), Ru at (0.000, 0.000, 0.500) and C at (0.500, 0.500, 0.500).

***

*2*
Material: CoRu3C
Method: DFT, PBE
State: optimized geometry

It has space group Pm-3m (No. 221), with a = 3.973 Å, b = 3.973 Å, c = 3.973 Å, α = 90.00°, β = 90.00° and γ = 90.00°. The asymmetric unit holds Co at (0.000, 0.000, 0.000), Ru at (0.000, 0.500, 0.500) and C at (0.500, 0.500, 0.500).

***

Which structure is the most stable? The one labeled *2*.

***

*1*
Material: CoRuC3
Method: DFT, PBE
State: optimized geometry

It has space group Pm-3m (No. 221), with a = 3.936 Å, b = 3.936 Å, c = 3.936 Å, α = 90.00°, β = 90.00° and γ = 90.00°. The asymmetric unit holds Co at (0.000, 0.000, 0.000), Ru at (0.500, 0.500, 0.500) and C at (0.000, 0.500, 0.500).

***

*2*
Material: CoRuC3
Method: DFT, PBE
State: optimized geometry

It has space group Pm-3m (No. 221), with a = 3.667 Å, b = 3.667 Å, c = 3.667 Å, α = 90.00°, β = 90.00° and γ = 90.00°. The asymmetric unit holds Co at (0.000, 0.000, 0.000), Ru at (0.500, 0.500, 0.500) and C at (0.000, 0.000, 0.500).

***

Which structure is the most stable? The one labeled *2*.

***

*1*
Material: CoRuCS
Method: DFT, PBE
State: optimized geometry

It has space group R3m (No. 160, hexagonal axes), with a = 2.8657 Å, b = 2.8657 Å, c = 18.5226 Å, α = 90.00°, β = 90.00° and γ = 120.00°. The asymmetric unit holds Co at (0.0000, 0.0000, 0.0000), Ru at (0.0000, 0.0000, 0.1338), C at (0.0000, 0.0000, 0.7286) and S at (0.0000, 0.0000, 0.5748).

***

*2*
Material: CoRuCS
Method: DFT, PBE
State: optimized geometry

It has space group Pmm2 (No. 25), with a = 3.192 Å, b = 3.374 Å, c = 4.915 Å, α = 90.00°, β = 90.00° and γ = 90.00°. The asymmetric unit holds Co at (0.000, 0.000, 0.000), Ru at (0.500, 0.500, 0.612), C at (0.000, 0.500, 0.837) and S at (0.500, 0.000, 0.295).

***

*3*
Material: CoRuCS
Method: DFT, PBE
State: optimized geometry

It has space group R3m (No. 160, hexagonal axes), with a = 3.0099 Å, b = 3.0099 Å, c = 18.3897 Å, α = 90.00°, β = 90.00° and γ = 120.00°. The asymmetric unit holds Co at (0.0000, 0.0000, 0.0000), Ru at (0.0000, 0.0000, 0.8662), C at (0.0000, 0.0000, 0.6273) and S at (0.0000, 0.0000, 0.1189).

***

Which structure is the most stable? The one labeled *2*.

***

*1*
Material: CoRuCS
Method: DFT, PBE
State: optimized geometry

It has space group Amm2 (No. 38), with a = 2.871 Å, b = 2.756 Å, c = 11.503 Å, α = 90.00°, β = 90.00° and γ = 90.00°. The asymmetric unit holds Co at (0.000, 0.000, 0.000), Ru at (0.500, 0.000, 0.808), C at (0.500, 0.000, 0.454) and S at (0.000, 0.000, 0.190).

***

*2*
Material: CoRuCS
Method: DFT, PBE
State: optimized geometry

It has space group Pm (No. 6), with a = 3.600 Å, b = 3.350 Å, c = 4.560 Å, α = 90.00°, β = 100.67° and γ = 90.00°. The asymmetric unit holds Co at (0.000, 0.000, 0.000), Ru at (0.536, 0.500, 0.194), C at (0.469, 0.000, 0.890) and S at (0.634, 0.000, 0.552).

***

*3*
Material: CoRuCS
Method: DFT, PBE
State: optimized geometry

It has space group Cm (No. 8), with a = 6.381 Å, b = 2.885 Å, c = 5.250 Å, α = 90.00°, β = 97.61° and γ = 90.00°. The asymmetric unit holds Co at (0.000, 0.000, 0.000), Ru at (0.273, 0.500, 0.372), C at (0.473, 0.000, 0.239) and S at (0.265, 0.000, 0.749).

***

*4*
Material: CoRuCS
Method: DFT, PBE
State: optimized geometry

It has space group Pmm2 (No. 25), with a = 2.728 Å, b = 2.881 Å, c = 6.128 Å, α = 90.00°, β = 90.00° and γ = 90.00°. The asymmetric unit holds Co at (0.000, 0.000, 0.000), Ru at (0.000, 0.500, 0.641), C at (0.500, 0.500, 0.894) and S at (0.000, 0.000, 0.356).

***

Which structure is the most stable? The one labeled *3*.

***

*1*
Material: CoRuCS
Method: DFT, PBE
State: optimized geometry

It has space group Cm (No. 8), with a = 5.968 Å, b = 2.927 Å, c = 6.008 Å, α = 90.00°, β = 112.42° and γ = 90.00°. The asymmetric unit holds Co at (0.000, 0.000, 0.000), Ru at (0.427, 0.000, 0.353), C at (0.220, 0.500, 0.087) and S at (0.335, 0.500, 0.605).

***

*2*
Material: CoRuCS
Method: DFT, PBE
State: optimized geometry

It has space group P3m1 (No. 156), with a = 3.2122 Å, b = 3.2122 Å, c = 5.7193 Å, α = 90.00°, β = 90.00° and γ = 120.00°. The asymmetric unit holds Co at (0.0000, 0.0000, 0.0000), Ru at (0.3333, 0.6667, 0.3910), C at (0.3333, 0.6667, 0.0472) and S at (0.0000, 0.0000, 0.6221).

***

Which structure is the most stable? The one labeled *1*.

***

*1*
Material: Y2CoRuC
Method: DFT, PBE
State: optimized geometry

It has space group P4/mmm (No. 123), with a = 4.929 Å, b = 4.929 Å, c = 3.841 Å, α = 90.00°, β = 90.00° and γ = 90.00°. The asymmetric unit holds Y at (0.000, 0.500, 0.000), Co at (0.000, 0.000, 0.500), Ru at (0.500, 0.500, 0.500) and C at (0.500, 0.500, 0.000).

***

*2*
Material: Y2CoRuC
Method: DFT, PBE
State: optimized geometry

It has space group P4/mmm (No. 123), with a = 4.949 Å, b = 4.949 Å, c = 3.569 Å, α = 90.00°, β = 90.00° and γ = 90.00°. The asymmetric unit holds Y at (0.000, 0.500, 0.000), Co at (0.000, 0.000, 0.500), Ru at (0.500, 0.500, 0.500) and C at (0.000, 0.000, 0.000).

***

Which structure is the most stable? The one labeled *2*.

***

*1*
Material: Co2CS
Method: DFT, PBE
State: optimized geometry

It has space group Fm-3m (No. 225), with a = 5.415 Å, b = 5.415 Å, c = 5.415 Å, α = 90.00°, β = 90.00° and γ = 90.00°. The asymmetric unit holds Co at (0.250, 0.250, 0.250), C at (0.000, 0.000, 0.000) and S at (0.000, 0.000, 0.500).

***

*2*
Material: Co2CS
Method: DFT, PBE
State: optimized geometry

It has space group I-42d (No. 122), with a = 4.502 Å, b = 4.502 Å, c = 9.584 Å, α = 90.00°, β = 90.00° and γ = 90.00°. The asymmetric unit holds Co at (0.187, 0.250, 0.125), C at (0.000, 0.000, 0.000) and S at (0.000, 0.000, 0.500).

***

Which structure is the most stable? The one labeled *2*.

***

*1*
Material: Co3SbC
Method: DFT, PBE
State: optimized geometry

It has space group Pm-3m (No. 221), with a = 4.709 Å, b = 4.709 Å, c = 4.709 Å, α = 90.00°, β = 90.00° and γ = 90.00°. The asymmetric unit holds Co at (0.000, 0.000, 0.500), Sb at (0.000, 0.000, 0.000) and C at (0.500, 0.500, 0.500).

***

*2*
Material: Co3SbC
Method: DFT, PBE
State: optimized geometry

It has space group Pm-3m (No. 221), with a = 3.877 Å, b = 3.877 Å, c = 3.877 Å, α = 90.00°, β = 90.00° and γ = 90.00°. The asymmetric unit holds Co at (0.000, 0.000, 0.500), Sb at (0.500, 0.500, 0.500) and C at (0.000, 0.000, 0.000).

***

Which structure is the most stable? The one labeled *2*.

***

*1*
Material: Co2SbC
Method: DFT, PBE
State: optimized geometry

It has space group Fm-3m (No. 225), with a = 5.844 Å, b = 5.844 Å, c = 5.844 Å, α = 90.00°, β = 90.00° and γ = 90.00°. The asymmetric unit holds Co at (0.250, 0.250, 0.250), Sb at (0.000, 0.000, 0.000) and C at (0.000, 0.000, 0.500).

***

*2*
Material: Co2SbC
Method: DFT, PBE
State: optimized geometry

It has space group I-42d (No. 122), with a = 4.816 Å, b = 4.816 Å, c = 9.998 Å, α = 90.00°, β = 90.00° and γ = 90.00°. The asymmetric unit holds Co at (0.125, 0.250, 0.125), Sb at (0.000, 0.000, 0.500) and C at (0.000, 0.000, 0.000).

***

Which structure is the most stable? The one labeled *2*.